Record 1
# La2AuF

An optimized crystal structure of La2AuF (GGA-PBE, Alexandria).

CIF file:
```
data_La2AuF
_symmetry_space_group_name_H-M 'P 1'
_symmetry_Int_Tables_number 1
_cell_length_a 5.1798
_cell_length_b 5.1798
_cell_length_c 5.1798
_cell_angle_alpha 60.00
_cell_angle_beta 60.00
_cell_angle_gamma 60.00
loop_
_symmetry_equiv_pos_as_xyz
'x,y,z'
loop_
_atom_site_label
_atom_site_fract_x
_atom_site_fract_y
_atom_site_fract_z
La1 0.2500 0.2500 0.2500
F1 0.0000 0.0000 0.0000
La2 0.7500 0.7500 0.7500
Au1 0.5000 0.5000 0.5000
```

Properties
excess energy over the best structure of this formula in the dataset: 319 meV per atom
space-group type: Fm-3m, No. 225

=====

Record 2
# KCl

An optimized crystal structure of KCl (GGA-PBE, Alexandria).

CIF file:
```
data_KCl
_symmetry_space_group_name_H-M 'P 1'
_symmetry_Int_Tables_number 1
_cell_length_a 8.0349
_cell_length_b 8.0349
_cell_length_c 7.6801
_cell_angle_alpha 61.40
_cell_angle_beta 61.40
_cell_angle_gamma 29.24
loop_
_symmetry_equiv_pos_as_xyz
'x,y,z'
loop_
_atom_site_label
_atom_site_fract_x
_atom_site_fract_y
_atom_site_fract_z
Cl1 0.5554 0.5554 0.1982
Cl2 0.4029 0.4029 0.8597
K1 0.0558 0.0558 0.5229
Cl3 0.7081 0.7081 0.5543
K2 0.2058 0.2058 0.8654
K3 0.9053 0.9053 0.1662
```

Properties
space-group type: Cm, No. 8

=====

Record 3
# Tl7Hg2S2

An optimized crystal structure of Tl7Hg2S2 (GGA-PBE, Alexandria).

CIF file:
```
data_Tl7Hg2S2
_symmetry_space_group_name_H-M 'P 1'
_symmetry_Int_Tables_number 1
_cell_length_a 6.4712
_cell_length_b 7.6478
_cell_length_c 7.6478
_cell_angle_alpha 104.63
_cell_angle_beta 80.29
_cell_angle_gamma 80.29
loop_
_symmetry_equiv_pos_as_xyz
'x,y,z'
loop_
_atom_site_label
_atom_site_fract_x
_atom_site_fract_y
_atom_site_fract_z
Tl1 0.0000 0.0000 0.0000
S1 0.8153 0.3523 0.3523
Tl2 0.2227 0.9822 0.5668
Tl3 0.7773 0.4332 0.0178
Tl4 0.2999 0.3343 0.3343
Tl5 0.7001 0.6657 0.6657
Hg1 0.5000 0.8617 0.1383
Tl6 0.7773 0.0178 0.4332
Tl7 0.2227 0.5668 0.9822
S2 0.1847 0.6477 0.6477
Hg2 0.5000 0.1383 0.8617
```

Properties
space-group type: C2/m, No. 12

=====

no.,total DFT energy (no corrections) (eV per cell)
1,-20.1
2,-20.2
3,-26.5